Entry from the Alexandria database: a geometry-optimized LaMgTl structure (GGA-PBE).

V	31.2	Å³/atom
calculated formation energy	-0.62	eV/f.u.
SG	No. 8

Cell: 8.8770 5.0758 5.0751 Å, 59.99 73.45 90.00°
Sites, in units of the cell vectors:
Mg1 0.0618 0.5618 0.3282
Mg2 0.5428 0.3886 0.6747
Tl1 0.0134 0.2123 0.0272
Tl2 0.4389 0.6875 0.0769
La1 0.2886 0.9708 0.5103
La2 0.8130 0.8122 0.8275

***

Entry from the Alexandria database: a geometry-optimized LaMgTl structure (GGA-PBE).

V	29.5	Å³/atom
calculated formation energy	-0.69	eV/f.u.
SG	No. 12

Cell: 6.4499 6.3991 6.4499 Å, 91.51 47.44 72.55°
Sites, in units of the cell vectors:
Mg1 0.7189 0.7641 0.8147
Mg2 0.2483 0.5739 0.1540
Tl1 0.2730 0.2207 0.8252
Tl2 0.6945 0.1173 0.1433
La1 0.4837 0.6690 0.4843
La2 0.9837 0.1690 0.4842

***

Entry from the Alexandria database: a geometry-optimized LaMgTl2 structure (GGA-PBE).

V	29.0	Å³/atom
calculated formation energy	-0.57	eV/f.u.
SG	No. 25

Cell: 3.5671 4.6672 6.9649 Å, 90.00 90.00 90.00°
Sites, in units of the cell vectors:
La1 0.0000 0.0000 0.4902
Mg1 0.5000 0.5000 0.7830
Tl1 0.0000 0.0000 0.9810
Tl2 0.5000 0.5000 0.2457

***

Entry from the Alexandria database: a geometry-optimized La2Mg3Tl structure (GGA-PBE).

V	29.9	Å³/atom
calculated formation energy	-0.64	eV/f.u.
SG	No. 44

Cell: 5.3330 3.6730 9.7201 Å, 100.89 105.92 90.00°
Sites, in units of the cell vectors:
La1 0.1164 0.1164 0.2329
La2 0.8857 0.3857 0.7714
Mg1 0.7153 0.7153 0.4306
Mg2 0.5572 0.5572 0.1144
Mg3 0.2837 0.7837 0.5674
Tl1 0.4417 0.9417 0.8833

***

Entry from the Alexandria database: a geometry-optimized La6MgTl2 structure (GGA-PBE).

V	33.8	Å³/atom
calculated formation energy	-1.13	eV/f.u.
SG	No. 14

Cell: 6.5749 9.0228 10.3453 Å, 90.00 82.61 90.00°
Sites, in units of the cell vectors:
La1 0.8531 0.9407 0.2133
La2 0.8741 0.6468 0.5451
La3 0.9172 0.7099 0.9332
La4 0.5828 0.2099 0.5668
La5 0.6259 0.1468 0.9549
La6 0.6469 0.4407 0.2867
La7 0.1469 0.0593 0.7867
La8 0.1259 0.3532 0.4549
La9 0.0828 0.2901 0.0668
La10 0.4172 0.7901 0.4332
La11 0.3741 0.8532 0.0451
La12 0.3531 0.5593 0.7133
Mg1 0.5000 0.5000 0.0000
Mg2 0.0000 0.0000 0.5000
Tl1 0.8924 0.3867 0.7694
Tl2 0.6076 0.8867 0.7306
Tl3 0.3924 0.1133 0.2695
Tl4 0.1076 0.6133 0.2306

***

Entry from the Alexandria database: a geometry-optimized La5MgTl4 structure (GGA-PBE).

V	31.4	Å³/atom
calculated formation energy	-3.61	eV/f.u.
SG	No. 123

Cell: 3.8794 3.8794 20.8880 Å, 90.00 90.00 90.00°
Sites, in units of the cell vectors:
La1 0.5000 0.5000 0.0960
La2 0.5000 0.5000 0.2968
La3 0.5000 0.5000 0.5000
La4 0.5000 0.5000 0.7032
La5 0.5000 0.5000 0.9040
Mg1 0.0000 0.0000 0.0000
Tl1 0.0000 0.0000 0.1929
Tl2 0.0000 0.0000 0.3976
Tl3 0.0000 0.0000 0.6024
Tl4 0.0000 0.0000 0.8071

***

Entry from the Alexandria database: a geometry-optimized LaMg5Tl7 structure (GGA-PBE).

V	26.4	Å³/atom
calculated formation energy	-1.24	eV/f.u.
SG	No. 44

Cell: 6.3411 8.0105 8.0105 Å, 82.81 66.68 66.68°
Sites, in units of the cell vectors:
La1 0.9962 0.0038 0.0038
Mg1 0.4981 0.0024 0.4945
Mg2 0.0050 0.0024 0.4945
Mg3 0.4981 0.4945 0.0024
Mg4 0.0050 0.4945 0.0024
Mg5 0.7396 0.7604 0.7604
Tl1 0.6450 0.3550 0.3550
Tl2 0.3345 0.6655 0.6655
Tl3 0.9933 0.3450 0.6684
Tl4 0.9933 0.6684 0.3450
Tl5 0.2704 0.2296 0.2296
Tl6 0.5107 0.8049 0.1737
Tl7 0.5107 0.1737 0.8049

***

Entry from the Alexandria database: a geometry-optimized LaMgTl structure (GGA-PBE).

V	28.4	Å³/atom
calculated formation energy	-0.66	eV/f.u.
SG	No. 107

Cell: 7.0003 6.9999 3.6185 Å, 75.03 75.01 29.96°
Sites, in units of the cell vectors:
La1 0.9974 0.9974 0.0026
Mg1 0.6837 0.6837 0.3163
Tl1 0.3189 0.3189 0.6811

***

Entry from the Alexandria database: a geometry-optimized LaMgTl structure (GGA-PBE).

V	28.6	Å³/atom
calculated formation energy	-0.65	eV/f.u.
SG	No. 62

Cell: 7.0384 5.0021 9.7387 Å, 90.00 90.00 90.00°
Sites, in units of the cell vectors:
Tl1 0.9346 0.2500 0.7358
Tl2 0.5654 0.7500 0.2358
Tl3 0.0654 0.7500 0.2642
Tl4 0.4346 0.2500 0.7642
Mg1 0.8647 0.2500 0.4198
Mg2 0.6353 0.7500 0.9198
Mg3 0.1353 0.7500 0.5802
Mg4 0.3647 0.2500 0.0802
La1 0.3399 0.2500 0.4161
La2 0.1601 0.7500 0.9161
La3 0.6601 0.7500 0.5839
La4 0.8399 0.2500 0.0839

***

Entry from the Alexandria database: a geometry-optimized LaMgTl structure (GGA-PBE).

V	31.2	Å³/atom
calculated formation energy	-0.40	eV/f.u.
SG	No. 129

Cell: 4.9267 4.9267 7.7017 Å, 90.00 90.00 90.00°
Last column: magnetic moment on the atom in μB.
Sites, in units of the cell vectors:
Tl1 0.0000 0.0000 0.5000  0.00
Tl2 0.5000 0.5000 0.5000  0.00
Mg1 0.0000 0.5000 0.7373  0.00
Mg2 0.5000 0.0000 0.2627  0.00
La1 0.0000 0.5000 0.1945  0.06
La2 0.5000 0.0000 0.8055  0.06

***

Entry from the Alexandria database: a geometry-optimized LaMg5Tl6 structure (GGA-PBE).

V	26.0	Å³/atom
calculated formation energy	-1.63	eV/f.u.
SG	No. 2

Cell: 5.1457 7.5041 9.3194 Å, 114.21 106.55 90.31°
Sites, in units of the cell vectors:
Mg1 0.6672 0.1681 0.3340
Mg2 0.3307 0.3302 0.6533
Mg3 0.0000 0.5000 0.0000
Mg4 0.6693 0.6698 0.3467
Mg5 0.3328 0.8319 0.6660
Tl1 0.8315 0.5716 0.6582
Tl2 0.8298 0.0901 0.6584
Tl3 0.5019 0.7271 0.0065
Tl4 0.4981 0.2729 0.9935
Tl5 0.1702 0.9099 0.3416
Tl6 0.1685 0.4284 0.3418
La1 0.0000 0.0000 0.0000

***

Entry from the Alexandria database: a geometry-optimized LaMgTl2 structure (GGA-PBE).

V	28.5	Å³/atom
calculated formation energy	-0.55	eV/f.u.
SG	No. 216

Cell: 5.4449 5.4449 5.4449 Å, 60.00 60.00 60.00°
Sites, in units of the cell vectors:
La1 0.5000 0.5000 0.5000
Mg1 0.7500 0.7500 0.7500
Tl1 0.0000 0.0000 0.0000
Tl2 0.2500 0.2500 0.2500

***

Entry from the Alexandria database: a geometry-optimized LaTm2MgTl4 structure (GGA-PBE).

V	27.6	Å³/atom
calculated formation energy	-2.20	eV/f.u.
SG	No. 166

Cell: 5.2699 5.2699 9.6580 Å, 74.17 74.17 60.00°
Sites, in units of the cell vectors:
La1 0.0000 0.0000 0.0000
Tm1 0.7569 0.7569 0.7294
Tm2 0.2431 0.2431 0.2706
Mg1 0.5000 0.5000 0.5000
Tl1 0.3811 0.3811 0.8568
Tl2 0.8730 0.8730 0.3809
Tl3 0.1270 0.1270 0.6191
Tl4 0.6189 0.6189 0.1432

***

Entry from the Alexandria database: a geometry-optimized LaYMgTl structure (GGA-PBE).

V	29.3	Å³/atom
calculated formation energy	-1.09	eV/f.u.
SG	No. 216

Cell: 5.4917 5.4917 5.4917 Å, 60.00 60.00 60.00°
Sites, in units of the cell vectors:
Y1 0.0000 0.0000 0.0000
Tl1 0.7500 0.7500 0.7500
Mg1 0.2500 0.2500 0.2500
La1 0.5000 0.5000 0.5000

***

Entry from the Alexandria database: a geometry-optimized LaY2MgTl4 structure (GGA-PBE).

V	28.1	Å³/atom
calculated formation energy	-2.50	eV/f.u.
SG	No. 166

Cell: 5.3068 5.3068 9.7013 Å, 74.13 74.13 60.00°
Sites, in units of the cell vectors:
La1 0.0000 0.0000 0.0000
Y1 0.7576 0.7576 0.7271
Y2 0.2424 0.2424 0.2729
Mg1 0.5000 0.5000 0.5000
Tl1 0.3795 0.3795 0.8615
Tl2 0.8741 0.8741 0.3777
Tl3 0.1259 0.1259 0.6223
Tl4 0.6205 0.6205 0.1385

***

Entry from the Alexandria database: a geometry-optimized LaMgTlZn structure (GGA-PBE).

V	25.3	Å³/atom
calculated formation energy	-1.22	eV/f.u.
SG	No. 216

Cell: 5.2308 5.2308 5.2308 Å, 60.00 60.00 60.00°
Sites, in units of the cell vectors:
Mg1 0.7500 0.7500 0.7500
Tl1 0.0000 0.0000 0.0000
Zn1 0.5000 0.5000 0.5000
La1 0.2500 0.2500 0.2500

***

Entry from the Alexandria database: a geometry-optimized La3Tm2Mg structure (GGA-PBE).

V	33.0	Å³/atom
calculated formation energy	-0.03	eV/f.u.
SG	No. 123

Cell: 3.7505 3.7505 14.0603 Å, 90.00 90.00 90.00°
Sites, in units of the cell vectors:
La1 0.0000 0.0000 0.0000
La2 0.0000 0.0000 0.6551
La3 0.0000 0.0000 0.3449
Tm1 0.5000 0.5000 0.8287
Tm2 0.5000 0.5000 0.1713
Mg1 0.5000 0.5000 0.5000

***

Entry from the Alexandria database: a geometry-optimized La2TmMg structure (GGA-PBE).

V	33.9	Å³/atom
calculated formation energy	0.74	eV/f.u.
SG	No. 166

Cell: 3.5134 3.5134 12.8338 Å, 82.13 82.13 60.00°
Sites, in units of the cell vectors:
Mg1 0.0000 0.0000 0.0000
Tm1 0.5000 0.5000 0.5000
La1 0.0899 0.0899 0.7303
La2 0.9101 0.9101 0.2697

***

Entry from the Alexandria database: a geometry-optimized La3Tm4Mg structure (GGA-PBE).

V	32.8	Å³/atom
calculated formation energy	0.78	eV/f.u.
SG	No. 71

Cell: 3.5393 11.7289 8.8012 Å, 131.73 101.60 90.00°
Sites, in units of the cell vectors:
Mg1 0.5000 0.0000 0.0000
Tm1 0.6341 0.3785 0.2683
Tm2 0.3659 0.6215 0.7317
Tm3 0.3658 0.1100 0.7316
Tm4 0.6342 0.8900 0.2684
La1 0.0000 0.5000 0.0000
La2 0.7636 0.7636 0.5272
La3 0.2364 0.2364 0.4728

***

Entry from the Alexandria database: a geometry-optimized La2TmMg3 structure (GGA-PBE).

V	29.5	Å³/atom
calculated formation energy	-0.53	eV/f.u.
SG	No. 123

Cell: 3.8784 3.8784 11.7538 Å, 90.00 90.00 90.00°
Sites, in units of the cell vectors:
La1 0.5000 0.5000 0.8263
La2 0.5000 0.5000 0.1737
Tm1 0.5000 0.5000 0.5000
Mg1 0.0000 0.0000 0.0000
Mg2 0.0000 0.0000 0.6510
Mg3 0.0000 0.0000 0.3490

***

Entry from the Alexandria database: a geometry-optimized LaTmMg17 structure (GGA-PBE).

V	24.4	Å³/atom
calculated formation energy	-0.64	eV/f.u.
SG	No. 160

Cell: 7.8115 7.8115 7.8115 Å, 82.17 82.17 82.17°
Sites, in units of the cell vectors:
La1 0.6684 0.6684 0.6684
Tm1 0.3277 0.3277 0.3277
Mg1 0.3015 0.0026 0.6960
Mg2 0.6960 0.3015 0.0026
Mg3 0.0026 0.6960 0.3015
Mg4 0.3015 0.6960 0.0026
Mg5 0.0026 0.3015 0.6960
Mg6 0.6960 0.0026 0.3015
Mg7 0.3492 0.8499 0.3492
Mg8 0.3492 0.3492 0.8499
Mg9 0.8499 0.3492 0.3492
Mg10 0.6440 0.1690 0.6440
Mg11 0.6440 0.6440 0.1690
Mg12 0.1690 0.6440 0.6440
Mg13 0.9959 0.5036 0.9959
Mg14 0.9959 0.9959 0.5036
Mg15 0.5036 0.9959 0.9959
Mg16 0.9027 0.9027 0.9027
Mg17 0.1003 0.1003 0.1003

***

Entry from the Alexandria database: a geometry-optimized La2TmMg structure (GGA-PBE).

V	32.5	Å³/atom
calculated formation energy	0.20	eV/f.u.
SG	No. 8

Cell: 3.5718 3.5718 11.9206 Å, 81.46 81.46 60.07°
Sites, in units of the cell vectors:
La1 0.0832 0.0832 0.7494
La2 0.2499 0.2499 0.2506
Tm1 0.6671 0.6671 0.9992
Mg1 0.4998 0.4998 0.5008

***

Entry from the Alexandria database: a geometry-optimized La12Tm6Mg structure (GGA-PBE).

V	35.2	Å³/atom
calculated formation energy	2.48	eV/f.u.
SG	No. 166

Cell: 8.7998 8.7998 8.7998 Å, 83.43 83.43 83.43°
Sites, in units of the cell vectors:
La1 0.5248 0.1948 0.5248
La2 0.1948 0.5248 0.5248
La3 0.5248 0.5248 0.1948
La4 0.4752 0.8052 0.4752
La5 0.8052 0.4752 0.4752
La6 0.4752 0.4752 0.8052
La7 0.8737 0.8738 0.5540
La8 0.4460 0.1263 0.1262
La9 0.1262 0.4460 0.1263
La10 0.1263 0.1262 0.4460
La11 0.5540 0.8737 0.8738
La12 0.8738 0.5540 0.8737
Tm1 0.2076 0.2075 0.8086
Tm2 0.7925 0.1914 0.7924
Tm3 0.1914 0.7924 0.7925
Tm4 0.7924 0.7925 0.1914
Tm5 0.2075 0.8086 0.2076
Tm6 0.8086 0.2076 0.2075
Mg1 0.0000 0.0000 0.0000

***

Entry from the Alexandria database: a geometry-optimized La2Tm2Mg15 structure (GGA-PBE).

V	26.0	Å³/atom
calculated formation energy	-0.54	eV/f.u.
SG	No. 166

Cell: 7.9608 7.9608 7.9608 Å, 83.03 83.03 83.03°
Sites, in units of the cell vectors:
La1 0.3318 0.3318 0.3318
La2 0.6682 0.6682 0.6682
Tm1 0.1011 0.1011 0.1011
Tm2 0.8989 0.8989 0.8989
Mg1 0.5000 0.0000 0.0000
Mg2 0.0000 0.0000 0.5000
Mg3 0.0000 0.5000 0.0000
Mg4 0.0000 0.7066 0.2934
Mg5 0.7066 0.2934 0.0000
Mg6 0.2934 0.0000 0.7066
Mg7 0.2934 0.7066 0.0000
Mg8 0.7066 0.0000 0.2934
Mg9 0.0000 0.2934 0.7066
Mg10 0.1540 0.6434 0.6434
Mg11 0.6434 0.6434 0.1540
Mg12 0.6434 0.1540 0.6434
Mg13 0.8460 0.3566 0.3566
Mg14 0.3566 0.3566 0.8460
Mg15 0.3566 0.8460 0.3566